Record 1
TbCe2MgP4: optimized geometry, PBE.

## Properties
**D(E_F)**: 0.9387 states/eV per atom
**Energy of formation**: -119.6 kJ/mol of atoms
**VASP energy**: -6.207 eV/atom

abc: 6.872 4.062 7.026
angles: 90.00 110.31 90.00
Space group P2/m (No. 10)
Asymmetric unit:
Tb: 0.000 0.000 0.000 [1 per cell]
Ce: 0.500 0.000 0.500 [1 per cell]
Ce: 0.500 0.500 0.000 [1 per cell]
Mg: 0.000 0.500 0.500 [1 per cell]
P: 0.246 0.000 0.746 [2 per cell]
P: 0.249 0.500 0.250 [2 per cell]

---

Record 2
ZnTcSe2: optimized geometry, PBE.

## Properties
**D(E_F)**: 0.7740 states/eV per atom
**VASP energy**: -4.672 eV/atom
**Formation energy (no corrections)**: -0.0194 eV per atom

abc: 3.224 7.768 5.616
angles: 90.00 90.00 90.00
Space group Imm2 (No. 44)
Asymmetric unit:
Zn: 0.000 0.000 0.000 [2 per cell]
Tc: 0.000 0.500 0.878 [2 per cell]
Se: 0.000 0.191 0.631 [4 per cell]

---

Record 3
Y5Bi4O: optimized geometry, PBE.

## Properties
**D(E_F)**: 0.3222 states/eV per atom
**VASP energy**: -6.392 eV/atom
**Formation energy (no corrections)**: -1.1117 eV per atom

abc: 9.572 9.572 6.312
angles: 90.00 90.00 90.00
Space group I4 (No. 79)
Asymmetric unit:
Y: 0.000 0.000 0.000 [2 per cell]
Y: 0.099 0.734 0.594 [8 per cell]
Bi: 0.085 0.694 0.095 [8 per cell]
O: 0.000 0.000 0.657 [2 per cell]

---

Record 4
LaWAu2: optimized geometry, PBE.

## Properties
**D(E_F)**: 0.9928 states/eV per atom
**Energy of formation**: 19.1 kJ/mol of atoms
**VASP energy**: -5.911 eV/atom

abc: 3.105 4.923 5.457
angles: 90.00 94.07 90.00
Space group Pm (No. 6)
Asymmetric unit:
La: 0.000 0.000 0.000 [1 per cell]
W: 0.877 0.500 0.380 [1 per cell]
Au: 0.471 0.500 0.819 [1 per cell]
Au: 0.480 0.000 0.487 [1 per cell]

---

Record 5
La4NiCl: optimized geometry, PBE.

## Properties
**D(E_F)**: 1.4819 states/eV per atom
**VASP energy**: -4.159 eV/atom
**Formation energy (no corrections)**: 0.3973 eV per atom

abc: 8.962 8.962 8.962
angles: 90.00 90.00 90.00
Space group F-43m (No. 216)
Asymmetric unit:
La: 0.125 0.125 0.125 [16 per cell]
Ni: 0.250 0.250 0.750 [4 per cell]
Cl: 0.000 0.000 0.500 [4 per cell]

---

Record 6
BiW6Cl15: optimized geometry, PBE.

## Properties
**D(E_F)**: 0.0000 states/eV per atom
**VASP energy**: -5.740 eV/atom
**Formation energy (no corrections)**: -0.7721 eV per atom

abc: 13.130 13.466 26.841
angles: 90.00 92.16 90.00
Space group C2/c (No. 15)
Asymmetric unit:
Bi: 0.216 0.049 0.108 [8 per cell]
W: 0.101 0.480 0.614 [8 per cell]
W: 0.126 0.071 0.353 [8 per cell]
W: 0.208 0.319 0.635 [8 per cell]
W: 0.212 0.468 0.698 [8 per cell]
W: 0.234 0.089 0.873 [8 per cell]
W: 0.236 0.061 0.436 [8 per cell]
Cl: 0.054 0.366 0.683 [8 per cell]
Cl: 0.059 0.103 0.171 [8 per cell]
Cl: 0.078 0.485 0.414 [8 per cell]
Cl: 0.081 0.045 0.921 [8 per cell]
Cl: 0.104 0.336 0.555 [8 per cell]
Cl: 0.109 0.379 0.175 [8 per cell]
Cl: 0.116 0.149 0.043 [8 per cell]
Cl: 0.129 0.071 0.793 [8 per cell]
Cl: 0.136 0.214 0.412 [8 per cell]
Cl: 0.152 0.144 0.646 [8 per cell]
Cl: 0.162 0.406 0.047 [8 per cell]
Cl: 0.174 0.486 0.786 [8 per cell]
Cl: 0.183 0.186 0.286 [8 per cell]
Cl: 0.183 0.270 0.873 [8 per cell]
Cl: 0.201 0.091 0.525 [8 per cell]

---

Record 7
AlTcGe3: optimized geometry, PBE.

## Properties
**D(E_F)**: 0.7576 states/eV per atom
**Energy of formation**: 112.1 kJ/mol of atoms
**VASP energy**: -4.430 eV/atom

abc: 4.798 4.798 4.798
angles: 90.00 90.00 90.00
Space group Pm-3m (No. 221)
Asymmetric unit:
Al: 0.000 0.000 0.000 [1 per cell]
Tc: 0.500 0.500 0.500 [1 per cell]
Ge: 0.000 0.000 0.500 [3 per cell]

---

Record 8
Zn2HgOs: optimized geometry, PBE.

## Properties
**D(E_F)**: 0.3633 states/eV per atom
**Energy of formation**: 40.4 kJ/mol of atoms
**VASP energy**: -3.101 eV/atom

abc: 2.745 4.065 5.891
angles: 90.00 90.00 90.00
Space group Pmm2 (No. 25)
Asymmetric unit:
Zn: 0.000 0.000 0.000 [1 per cell]
Zn: 0.500 0.500 0.261 [1 per cell]
Hg: 0.000 0.000 0.519 [1 per cell]
Os: 0.500 0.500 0.822 [1 per cell]